*w*
5
Lattice="-3.567 2.591 -3.215 2.015 -2.616 -4.344 -2.690 -3.007 0.562" Properties=species:S:1:pos:R:3 comment="ZrSe2IN PBE-GGA optimized geometry" vol_a3_per_fu=121.29 sg="P4/mmm, No. 123" pbc="T T T"
I -2.121 -1.516 -3.499
Se 1.008 -1.308 -2.172
Se -1.784 1.295 -1.608
Zr 0.000 0.000 0.000
N -1.345 -1.503 0.281

*x*
5
Lattice="5.463 0.000 0.000 0.000 5.463 0.000 0.000 0.000 3.900" Properties=species:S:1:pos:R:3 comment="ZrSe2IN PBE-GGA optimized geometry" vol_a3_per_fu=116.40 sg="P4/mmm, No. 123" pbc="T T T"
I 0.000 0.000 0.000
Se 0.000 2.732 0.000
Se 2.732 0.000 0.000
Zr 2.732 2.732 1.950
N 0.000 0.000 1.950

What is the most stable structure shown above? It is *w*.